# GGA-PBE SiRuAu2, relaxed
# Raw formation energy ... 0.274 eV per atom
data_SiRuAu2
_cell_length_a 4.6679
_cell_length_b 4.6679
_cell_length_c 3.2199
_cell_angle_alpha 90.00
_cell_angle_beta 90.00
_cell_angle_gamma 111.58
_space_group_name_H-M_alt 'P 1'
_space_group_IT_number 1
loop_
_space_group_symop_operation_xyz
'x,y,z'
loop_
_atom_site_label
_atom_site_fract_x
_atom_site_fract_y
_atom_site_fract_z
_atom_site_occupancy
Si1 0.0000 0.0000 0.0000 1
Ru1 0.5000 0.5000 0.0000 1
Au1 0.0000 0.5000 0.5000 1
Au2 0.5000 0.0000 0.5000 1